Computed, not measured: a relaxed VFe5Re2B2 crystal at the PBE level of DFT.

## Properties
electronic total energy = -183.130 eV/cell

abc: 2.844 8.581 8.581
angles: 90.00 90.00 90.00
Atoms (fractional coordinates):
V 0.000 0.500 0.500
V 0.000 0.000 0.000
Fe 0.500 0.000 0.500
Fe 0.500 0.500 0.000
Fe 0.500 0.434 0.286
Fe 0.500 0.566 0.714
Fe 0.500 0.786 0.934
Fe 0.500 0.934 0.214
Fe 0.500 0.286 0.566
Fe 0.500 0.714 0.434
Fe 0.500 0.214 0.066
Fe 0.500 0.066 0.786
B 0.000 0.122 0.622
B 0.000 0.378 0.122
B 0.000 0.622 0.878
B 0.000 0.878 0.378
Re 0.000 0.821 0.679
Re 0.000 0.321 0.821
Re 0.000 0.679 0.179
Re 0.000 0.179 0.321

---

Computed, not measured: a relaxed Fe5Re2B2W crystal at the PBE level of DFT.

## Properties
electronic total energy = -188.501 eV/cell

abc: 2.891 8.684 8.684
angles: 90.00 90.00 90.00
Atoms (fractional coordinates):
Fe 0.500 0.221 0.067
Fe 0.500 0.500 0.000
Fe 0.500 0.933 0.221
Fe 0.500 0.433 0.279
Fe 0.500 0.279 0.567
Fe 0.500 0.000 0.500
Fe 0.500 0.567 0.721
Fe 0.500 0.721 0.433
Fe 0.500 0.779 0.933
Fe 0.500 0.067 0.779
Re 0.000 0.679 0.179
Re 0.000 0.321 0.821
Re 0.000 0.821 0.679
Re 0.000 0.179 0.321
B 0.000 0.119 0.619
B 0.000 0.881 0.381
B 0.000 0.381 0.119
B 0.000 0.619 0.881
W 0.000 0.500 0.500
W 0.000 0.000 0.000

---

Q: Which of these has the highest electronic total energy?
A: VFe5Re2B2

---

Q: Which of these has the highest electronic total energy?
A: VFe5Re2B2

---

Please write out number 1 again, unchanged.
Computed, not measured: a relaxed VFe5Re2B2 crystal at the PBE level of DFT.

## Properties
electronic total energy = -183.130 eV/cell

abc: 2.844 8.581 8.581
angles: 90.00 90.00 90.00
Atoms (fractional coordinates):
V 0.000 0.500 0.500
V 0.000 0.000 0.000
Fe 0.500 0.000 0.500
Fe 0.500 0.500 0.000
Fe 0.500 0.434 0.286
Fe 0.500 0.566 0.714
Fe 0.500 0.786 0.934
Fe 0.500 0.934 0.214
Fe 0.500 0.286 0.566
Fe 0.500 0.714 0.434
Fe 0.500 0.214 0.066
Fe 0.500 0.066 0.786
B 0.000 0.122 0.622
B 0.000 0.378 0.122
B 0.000 0.622 0.878
B 0.000 0.878 0.378
Re 0.000 0.821 0.679
Re 0.000 0.321 0.821
Re 0.000 0.679 0.179
Re 0.000 0.179 0.321